No. 1
Below is crystalline Zn2Ni6Rh at its relaxed geometry, with properties calculated at the PBE level.

* space-group type: C2/m, No. 12
* final energy: -5.049 eV/atom
* excess energy over the best structure of this formula in the dataset: 0 meV per atom
* V: 11.8 Å³/atom
* ΔH_f (0 K): -0.095 eV per atom
* DOS(E_F): 1.206 states/eV/atom
* crystal system: monoclinic

a b c (Å): 4.4314 4.4314 7.6763
angles (deg): 106.99 106.99 48.19
Fractional positions:
1 Zn 0.1721 0.1721 0.2302
2 Zn 0.8279 0.8279 0.7698
3 Ni 0.1631 0.1631 0.5538
4 Ni 0.1651 0.1651 0.8848
5 Ni 0.4988 0.4988 0.6598
6 Ni 0.5012 0.5012 0.3402
7 Ni 0.8349 0.8349 0.1152
8 Ni 0.8369 0.8369 0.4462
9 Rh 0.5000 0.5000 0.0000

No. 2
Below is crystalline Ti2GeAuCl at its relaxed geometry, with properties calculated at the PBE level.

* space-group type: P4/mmm, No. 123
* final energy: -4.428 eV/atom
* excess energy over the best structure of this formula in the dataset: 240 meV per atom
* V: 24.9 Å³/atom
* formation energy without anion corrections: 327.1 kJ/mol of formula units
* DOS(E_F): 1.825 states/eV/atom
* crystal system: tetragonal

a b c (Å): 5.1638 5.1638 4.6702
angles (deg): 90.00 90.00 90.00
Fractional positions:
1 Ti 0.0000 0.5000 0.0000
2 Ti 0.5000 0.0000 0.0000
3 Ge 0.0000 0.0000 0.5000
4 Au 0.0000 0.0000 0.0000
5 Cl 0.5000 0.5000 0.5000